1.
A plane-wave DFT calculation with PBE was carried out for AlAgSb after structural relaxation.

Output
Energy relative to the elements, uncorrected = 0.162 eV/atom
Total energy = -20.46 eV for the cell shown
Distance to the lowest polymorph of the same formula = 71 meV per atom

```
data_AlAgSb
_symmetry_space_group_name_H-M 'I 4 m m'
_symmetry_Int_Tables_number 107
_symmetry_space_group_name_Hall 'I 4 -2'
_cell_length_a 3.169
_cell_length_b 3.169
_cell_length_c 12.559
_cell_angle_alpha 90.00
_cell_angle_beta 90.00
_cell_angle_gamma 90.00
loop_
_atom_site_label
_atom_site_type_symbol
_atom_site_fract_x
_atom_site_fract_y
_atom_site_fract_z
_atom_site_occupancy
Al1 Al 0.000 0.000 0.000 1
Ag1 Ag 0.000 0.000 0.634 1
Sb1 Sb 0.000 0.000 0.320 1
```

2.
A plane-wave DFT calculation with PBE was carried out for AlAgSb2 after structural relaxation.

Output
Energy relative to the elements, uncorrected = 0.229 eV/atom
Total energy = -27.85 eV for the cell shown

```
data_AlAgSb2
_symmetry_space_group_name_H-M 'I 4/m m m'
_symmetry_Int_Tables_number 139
_symmetry_space_group_name_Hall '-I 4 2'
_cell_length_a 4.784
_cell_length_b 4.784
_cell_length_c 7.986
_cell_angle_alpha 90.00
_cell_angle_beta 90.00
_cell_angle_gamma 90.00
loop_
_atom_site_label
_atom_site_type_symbol
_atom_site_fract_x
_atom_site_fract_y
_atom_site_fract_z
_atom_site_occupancy
Al1 Al 0.000 0.000 0.000 1
Ag1 Ag 0.000 0.000 0.500 1
Sb1 Sb 0.000 0.500 0.250 1
```

3.
A plane-wave DFT calculation with PBE was carried out for AlAg2Sb after structural relaxation.

Output
Energy relative to the elements, uncorrected = 0.089 eV/atom
Total energy = -13.21 eV for the cell shown
Distance to the lowest polymorph of the same formula = 50 meV per atom

```
data_AlAg2Sb
_symmetry_space_group_name_H-M 'P 4/m m m'
_symmetry_Int_Tables_number 123
_symmetry_space_group_name_Hall '-P 4 2'
_cell_length_a 3.091
_cell_length_b 3.091
_cell_length_c 8.394
_cell_angle_alpha 90.00
_cell_angle_beta 90.00
_cell_angle_gamma 90.00
loop_
_atom_site_label
_atom_site_type_symbol
_atom_site_fract_x
_atom_site_fract_y
_atom_site_fract_z
_atom_site_occupancy
Al1 Al 0.000 0.000 0.000 1
Ag1 Ag 0.500 0.500 0.209 1
Sb1 Sb 0.000 0.000 0.500 1
```

4.
A plane-wave DFT calculation with PBE was carried out for AlAg2Sb after structural relaxation.

Output
Energy relative to the elements, uncorrected = 0.108 eV/atom
Total energy = -39.41 eV for the cell shown
Distance to the lowest polymorph of the same formula = 69 meV per atom

```
data_AlAg2Sb
_symmetry_space_group_name_H-M 'R 3 m'
_symmetry_Int_Tables_number 160
_symmetry_space_group_name_Hall 'R 3 -2"'
_cell_length_a 4.4537
_cell_length_b 4.4537
_cell_length_c 15.0686
_cell_angle_alpha 90.00
_cell_angle_beta 90.00
_cell_angle_gamma 120.00
loop_
_atom_site_label
_atom_site_type_symbol
_atom_site_fract_x
_atom_site_fract_y
_atom_site_fract_z
_atom_site_occupancy
Al1 Al 0.0000 0.0000 0.0000 1
Ag1 Ag 0.0000 0.0000 0.4062 1
Ag2 Ag 0.0000 0.0000 0.6156 1
Sb1 Sb 0.0000 0.0000 0.1903 1
```

5.
A plane-wave DFT calculation with PBE was carried out for AlAg2Sb after structural relaxation.

Output
Energy relative to the elements, uncorrected = 0.106 eV/atom
Total energy = -26.29 eV for the cell shown
Distance to the lowest polymorph of the same formula = 67 meV per atom

```
data_AlAg2Sb
_symmetry_space_group_name_H-M 'C 1 m 1'
_symmetry_Int_Tables_number 8
_symmetry_space_group_name_Hall 'C -2y'
_cell_length_a 9.098
_cell_length_b 3.237
_cell_length_c 5.813
_cell_angle_alpha 90.00
_cell_angle_beta 104.73
_cell_angle_gamma 90.00
loop_
_atom_site_label
_atom_site_type_symbol
_atom_site_fract_x
_atom_site_fract_y
_atom_site_fract_z
_atom_site_occupancy
Al1 Al 0.000 0.000 0.000 1
Ag1 Ag 0.005 0.500 0.602 1
Ag2 Ag 0.261 0.000 0.846 1
Sb1 Sb 0.239 0.500 0.328 1
```

6.
A plane-wave DFT calculation with PBE was carried out for AlAg2Sb after structural relaxation.

Output
Energy relative to the elements, uncorrected = 0.039 eV/atom
Total energy = -26.83 eV for the cell shown
Distance to the lowest polymorph of the same formula = 0 meV per atom

```
data_AlAg2Sb
_symmetry_space_group_name_H-M 'C 1 2/m 1'
_symmetry_Int_Tables_number 12
_symmetry_space_group_name_Hall '-C 2y'
_cell_length_a 8.961
_cell_length_b 3.216
_cell_length_c 5.734
_cell_angle_alpha 90.00
_cell_angle_beta 101.35
_cell_angle_gamma 90.00
loop_
_atom_site_label
_atom_site_type_symbol
_atom_site_fract_x
_atom_site_fract_y
_atom_site_fract_z
_atom_site_occupancy
Al1 Al 0.000 0.000 0.000 1
Ag1 Ag 0.239 0.500 0.208 1
Sb1 Sb 0.000 0.500 0.500 1
```

total energy of number 3 (AlAg2Sb)? -13.21 eV for the cell shown

The lowest energy relative to the elements, uncorrected belongs to which entry? number 6

Which formula does entry 4 have? AlAg2Sb

The highest total energy belongs to which entry? number 3